Entry from the Alexandria database: a relaxed Dy2TiVO6 crystal (PBE+U).

Cell lengths 5.344, 5.702, 9.349 Å; angles 90.00, 124.11, 90.00 degrees
Space group P2_1/c (No. 14)
Inequivalent atoms, fractional coordinates:
Dy 0.227 0.070 0.248
Ti 0.500 0.000 0.000
V 0.000 0.000 0.500
O 0.143 0.184 0.944
O 0.255 0.707 0.934
O 0.381 0.049 0.759

## Properties
- M_tot (μB per formula unit) = 3.0
- calculated total energy (eV per atom) = -8.52